First-principles (SCAN) data for a crystal of TlAg2Br relaxed with PBEsol, as listed in Alexandria.

Cell: 6.286 6.286 6.286 Å, 142.92 142.92 53.44°
Element x y z (fractional)
Tl  0.000  0.000  0.000
Ag  0.500  0.500  0.000
Ag  0.750  0.250  0.500
Br  0.250  0.750  0.500

Summary:
**ΔE_f (raw)**: 0.0517 eV/atom
**Electronic total energy**: -38.5863 eV per atom